Material: BeCrSb2Te
Method: DFT, PBE-GGA
State: optimized geometry

The structure belongs to space group P4/mmm (No. 123); the cell edges are 5.0089, 5.0089 and 5.2539 Å and the angles 90.00°, 90.00° and 90.00°. The distinct sites, in fractional coordinates, are Be at (0.0000, 0.0000, 0.0000), Cr at (0.5000, 0.5000, 0.5000), Sb at (0.0000, 0.5000, 0.5000) and Te at (0.5000, 0.5000, 0.0000).

The value obtained for the spin magnetization is 1.54 μB per cell. As for the total energy: -0.300 Ry per atom. As for the density of states at the Fermi level: 4.77 states/eV/cell. The uncorrected formation energy comes out at 869 meV per atom. For the relative energy among the computed polymorphs, the calculation gives 0 meV/atom.

Material: BeCrSb2Te
Method: DFT, PBE-GGA
State: optimized geometry

The structure belongs to space group P4/mmm (No. 123); the cell edges are 4.7871, 4.7871 and 5.0287 Å and the angles 90.00°, 90.00° and 90.00°. The distinct sites, in fractional coordinates, are Be at (0.0000, 0.0000, 0.0000), Cr at (0.5000, 0.5000, 0.5000), Sb at (0.0000, 0.5000, 0.0000) and Te at (0.0000, 0.0000, 0.5000).

The value obtained for the spin magnetization is 0.28 μB per cell. As for the total energy: -0.282 Ry per atom. As for the density of states at the Fermi level: 7.47 states/eV/cell. The uncorrected formation energy comes out at 1110 meV per atom. For the relative energy among the computed polymorphs, the calculation gives 240 meV/atom.

Material: BeCrSbTe2
Method: DFT, PBE-GGA
State: optimized geometry

The structure belongs to space group P4/mmm (No. 123); the cell edges are 5.2460, 5.2460 and 4.3473 Å and the angles 90.00°, 90.00° and 90.00°. The distinct sites, in fractional coordinates, are Be at (0.0000, 0.0000, 0.0000), Cr at (0.0000, 0.0000, 0.5000), Sb at (0.5000, 0.5000, 0.0000) and Te at (0.0000, 0.5000, 0.5000).

The value obtained for the spin magnetization is 2.90 μB per cell. As for the total energy: -0.306 Ry per atom. As for the density of states at the Fermi level: 3.84 states/eV/cell. The uncorrected formation energy comes out at 594 meV per atom. For the relative energy among the computed polymorphs, the calculation gives 0 meV/atom.

Material: BeCrSbTe2
Method: DFT, PBE-GGA
State: optimized geometry

The structure belongs to space group P4/mmm (No. 123); the cell edges are 5.2104, 5.2104 and 5.0319 Å and the angles 90.00°, 90.00° and 90.00°. The distinct sites, in fractional coordinates, are Be at (0.0000, 0.0000, 0.0000), Cr at (0.5000, 0.5000, 0.5000), Sb at (0.5000, 0.5000, 0.0000) and Te at (0.0000, 0.5000, 0.5000).

The value obtained for the spin magnetization is 2.05 μB per cell. As for the total energy: -0.287 Ry per atom. As for the density of states at the Fermi level: 5.04 states/eV/cell. The uncorrected formation energy comes out at 853 meV per atom. For the relative energy among the computed polymorphs, the calculation gives 259 meV/atom.

Material: BeCrSb2W
Method: DFT, PBE-GGA
State: optimized geometry

The structure belongs to space group P4/mmm (No. 123); the cell edges are 4.7634, 4.7634 and 3.9362 Å and the angles 90.00°, 90.00° and 90.00°. The distinct sites, in fractional coordinates, are Be at (0.0000, 0.0000, 0.0000), Cr at (0.0000, 0.0000, 0.5000), Sb at (0.0000, 0.5000, 0.0000) and W at (0.5000, 0.5000, 0.5000).

The value obtained for the spin magnetization is 1.55 μB per cell. As for the total energy: -0.425 Ry per atom. As for the density of states at the Fermi level: 3.87 states/eV/cell. The uncorrected formation energy comes out at 1127 meV per atom.

Material: ScBeCr2
Method: DFT, PBE-GGA
State: optimized geometry

The structure belongs to space group Cmmm (No. 65); the cell edges are 3.6082, 3.6222 and 7.8799 Å and the angles 90.00°, 90.00° and 90.00°. The distinct sites, in fractional coordinates, are Sc at (0.0000, 0.0000, 0.0000), Be at (0.0000, 0.0000, 0.5000) and Cr at (0.0000, 0.5000, 0.2967).

The energy of formation from the pure elements comes out at 0.36 eV/atom. The value obtained for the spin magnetization is 0.00 μB per cell. As for the total energy: -0.512 Ry per atom. As for the density of states at the Fermi level: 6.00 states/eV/cell.

Material: ScBeCr
Method: DFT, PBE-GGA
State: optimized geometry

The structure belongs to space group P2_1/m (No. 11); the cell edges are 4.7549, 3.8476 and 5.0089 Å and the angles 90.00°, 109.63° and 90.00°. The distinct sites, in fractional coordinates, are Sc at (0.2491, 0.2500, 0.0456), Be at (0.4335, 0.2500, 0.5897) and Cr at (0.1275, 0.7500, 0.5390).

The energy of formation from the pure elements comes out at 0.10 eV/atom. The value obtained for the spin magnetization is 0.00 μB per cell. As for the total energy: -0.475 Ry per atom. As for the density of states at the Fermi level: 5.84 states/eV/cell. For the relative energy among the computed polymorphs, the calculation gives 46 meV/atom.

Material: ScBeCr
Method: DFT, PBE-GGA
State: optimized geometry

The structure belongs to space group Cm (No. 8); the cell edges are 11.0330, 3.1974 and 5.4024 Å and the angles 90.00°, 111.86° and 90.00°. The distinct sites, in fractional coordinates, are Sc at (0.0000, 0.0000, 0.0000), Sc at (0.1466, 0.5000, 0.6708), Be at (0.3379, 0.0000, 0.5919), Be at (0.4350, 0.5000, 0.4620), Cr at (0.2182, 0.5000, 0.2350) and Cr at (0.3256, 0.0000, 0.1245).

The energy of formation from the pure elements comes out at 0.15 eV/atom. The value obtained for the spin magnetization is 0.00 μB per cell. As for the total energy: -0.471 Ry per atom. As for the density of states at the Fermi level: 10.14 states/eV/cell. For the relative energy among the computed polymorphs, the calculation gives 97 meV/atom.